Computed, not measured: a geometry-optimized NiAgHgF2 structure at the PBE+U level of DFT.

## Properties
**M_tot**: 1.04 μB/cell
**D(E_F)**: 0.271 states/eV per atom
**SG**: P4/mmm, No. 123
**Energy**: -2.28 eV per atom

Geometry as POSCAR:
```
NiAgHgF2
1.0
4.2030 0.0000 0.0000
0.0000 4.2030 0.0000
0.0000 0.0000 5.4480
Ni Ag Hg F
1 1 1 2
Cartesian
0.0000 0.0000 0.0000
0.0000 0.0000 2.7240
2.1015 2.1015 0.0000
0.0000 2.1015 2.7240
2.1015 0.0000 2.7240
```

***

Computed, not measured: a geometry-optimized NiAgHgF5 structure at the PBE+U level of DFT.

## Properties
**M_tot**: 3.86 μB/cell
**SG**: C2/c, No. 15
**Energy**: -3.44 eV per atom

Geometry as POSCAR:
```
NiAgHgF5
1.0
3.8571 -4.8256 0.0000
3.8571 4.8256 0.0000
-3.7595 0.0000 7.1381
Ni Ag Hg F
2 2 2 10
Cartesian
1.9286 2.4128 0.0000
0.0488 -2.4128 3.5691
1.0375 3.9693 5.3536
2.9172 -3.9693 1.7845
1.0375 0.2597 5.3536
2.9172 -0.2597 1.7845
1.5296 0.4283 0.0916
-0.1062 2.0217 6.2011
-0.3502 -0.4283 3.6607
2.9172 2.0761 1.7845
2.1813 2.0217 4.5061
1.7735 -2.0217 2.6321
1.0375 -2.0761 5.3536
4.3049 0.4283 3.4774
4.0610 -2.0217 0.9370
2.4252 -0.4283 7.0465
```

***

Computed, not measured: a geometry-optimized NiAgHg2F8 structure at the PBE+U level of DFT.

## Properties
**M_tot**: 2.74 μB/cell
**D(E_F)**: 0.149 states/eV per atom
**SG**: I-4m2, No. 119
**Energy**: -3.14 eV per atom

Geometry as POSCAR:
```
NiAgHg2F8
1.0
-3.3644 3.3644 4.0901
3.3644 -3.3644 4.0901
3.3644 3.3644 -4.0901
Ni Ag Hg F
1 1 2 8
Cartesian
0.0000 0.0000 0.0000
3.3644 0.0000 2.0451
0.0000 0.0000 4.0901
0.0000 3.3644 2.0451
2.1203 3.3644 -1.8362
1.2441 0.0000 2.2540
0.0000 1.9720 0.3107
3.3644 2.1203 1.8362
0.0000 4.7569 0.3107
0.0000 1.2441 5.9263
-1.3925 3.3644 3.7794
1.3925 3.3644 3.7794
```